## EuHoPd2 (GGA-PBE)

Data for a relaxed EuHoPd2 crystal.

extended XYZ file:
```
4
Lattice="4.144 0.000 0.000 2.072 3.589 0.000 2.072 1.196 6.839" Properties=species:S:1:pos:R:3 pbc="T T T"
Ho 0.000 0.000 0.000
Pd 2.072 1.196 1.543
Pd 6.217 3.589 5.295
Eu 4.144 2.393 3.419
```

## Properties
M_tot: 7.0 μB/cell
N(E_F): 2.85 states/eV per atom
Formation enthalpy at 0 K: -14.9 kcal/mol of atoms
Polymorph energy (0 for the lowest one): 164.4 meV/atom
Raw total energy: -27.83 eV/cell

## EuHoPd (GGA-PBE)

Data for a relaxed EuHoPd crystal.

extended XYZ file:
```
3
Lattice="-4.683 1.183 -1.188 -2.029 -1.774 -4.181 -3.574 -3.451 0.240" Properties=species:S:1:pos:R:3 pbc="T T T"
Pd -2.572 -1.010 -1.282
Ho -5.143 -2.021 -2.565
Eu 0.000 0.000 0.000
```

## Properties
M_tot: 7.2 μB/cell
N(E_F): 0.81 states/eV per atom
Formation enthalpy at 0 K: -9.6 kcal/mol of atoms
Polymorph energy (0 for the lowest one): 95.4 meV/atom
Raw total energy: -21.30 eV/cell

## EuHoPd2 (GGA-PBE)

Data for a relaxed EuHoPd2 crystal.

extended XYZ file:
```
4
Lattice="5.020 0.000 0.000 2.510 4.348 0.000 2.510 1.449 4.099" Properties=species:S:1:pos:R:3 pbc="T T T"
Pd 2.510 1.449 1.025
Pd 7.530 4.348 3.074
Ho 5.020 2.898 2.050
Eu 0.000 0.000 0.000
```

## Properties
M_tot: 7.1 μB/cell
N(E_F): 2.23 states/eV per atom
Formation enthalpy at 0 K: -17.2 kcal/mol of atoms
Polymorph energy (0 for the lowest one): 63.6 meV/atom
Raw total energy: -28.23 eV/cell

## EuHoPd2 (GGA-PBE)

Data for a relaxed EuHoPd2 crystal.

extended XYZ file:
```
4
Lattice="-2.627 -1.959 -1.327 0.857 -2.636 2.194 -4.518 2.682 4.987" Properties=species:S:1:pos:R:3 pbc="T T T"
Ho -0.885 -2.297 0.434
Pd -0.988 0.587 1.091
Pd -3.530 2.095 3.896
Eu -3.144 -0.956 2.927
```

## Properties
M_tot: 7.1 μB/cell
N(E_F): 2.52 states/eV per atom
Formation enthalpy at 0 K: -18.7 kcal/mol of atoms
Polymorph energy (0 for the lowest one): 0.0 meV/atom
Raw total energy: -28.48 eV/cell

## EuHo3Pd (GGA-PBE)

Data for a relaxed EuHo3Pd crystal.

extended XYZ file:
```
5
Lattice="-2.933 -3.123 -3.455 4.546 -1.036 -2.923 1.009 -4.412 3.132" Properties=species:S:1:pos:R:3 pbc="T T T"
Ho -1.466 -1.561 -1.727
Ho 2.273 -0.518 -1.462
Ho 0.504 -2.206 1.566
Eu 1.311 -4.285 -1.623
Pd 0.000 0.000 0.000
```

## Properties
M_tot: 7.7 μB/cell
N(E_F): 1.42 states/eV per atom
Formation enthalpy at 0 K: -4.7 kcal/mol of atoms
Raw total energy: -30.21 eV/cell

## EuHoPd (GGA-PBE)

Data for a relaxed EuHoPd crystal.

extended XYZ file:
```
3
Lattice="-0.248 3.383 -1.197 -1.455 -1.191 -3.067 -4.963 -0.613 4.702" Properties=species:S:1:pos:R:3 pbc="T T T"
Ho -3.411 0.284 1.508
Eu -0.278 0.023 0.123
Pd -2.977 1.273 -1.192
```

## Properties
M_tot: 7.5 μB/cell
N(E_F): 1.77 states/eV per atom
Formation enthalpy at 0 K: -11.8 kcal/mol of atoms
Polymorph energy (0 for the lowest one): 0.0 meV/atom
Raw total energy: -21.59 eV/cell

## EuHoPdPt (GGA-PBE)

Data for a relaxed EuHoPdPt crystal.

extended XYZ file:
```
4
Lattice="-2.753 -3.468 2.319 2.203 -3.372 2.959 -0.644 0.221 4.952" Properties=species:S:1:pos:R:3 pbc="T T T"
Pt -0.895 -4.964 7.673
Ho -0.597 -3.309 5.115
Pd -0.298 -1.655 2.558
Eu 0.000 0.000 0.000
```

## Properties
M_tot: 7.0 μB/cell
N(E_F): 2.36 states/eV per atom
Formation enthalpy at 0 K: -21.1 kcal/mol of atoms
Raw total energy: -29.74 eV/cell

## EuHoPdRh (GGA-PBE)

Data for a relaxed EuHoPdRh crystal.

extended XYZ file:
```
4
Lattice="-1.477 -4.305 1.955 -0.139 -4.078 -2.809 3.280 -3.636 0.748" Properties=species:S:1:pos:R:3 pbc="T T T"
Pd 0.832 -6.009 -0.053
Eu 1.248 -9.014 -0.080
Rh 0.000 0.000 0.000
Ho 0.416 -3.005 -0.027
```

## Properties
M_tot: 6.9 μB/cell
N(E_F): 3.20 states/eV per atom
Formation enthalpy at 0 K: -15.5 kcal/mol of atoms
Raw total energy: -30.09 eV/cell

## EuHoSiPd (GGA-PBE)

Data for a relaxed EuHoSiPd crystal.

extended XYZ file:
```
4
Lattice="-4.929 1.047 -0.195 -3.196 -2.318 3.137 -2.178 2.584 3.742" Properties=species:S:1:pos:R:3 pbc="T T T"
Ho -7.727 0.985 5.013
Si -5.152 0.657 3.342
Pd 0.000 0.000 0.000
Eu -2.576 0.328 1.671
```

## Properties
M_tot: 6.8 μB/cell
N(E_F): 2.55 states/eV per atom
ΔE_f (raw): -57.91 kJ/mol of atoms
Raw total energy: -27.87 eV/cell

## EuHoZnPd (GGA-PBE)

Data for a relaxed EuHoZnPd crystal.

extended XYZ file:
```
4
Lattice="5.078 0.000 0.000 2.539 4.398 0.000 2.539 1.466 4.146" Properties=species:S:1:pos:R:3 pbc="T T T"
Zn 0.000 0.000 0.000
Ho 2.539 1.466 1.037
Eu 7.617 4.398 3.110
Pd 5.078 2.932 2.073
```

## Properties
M_tot: 7.0 μB/cell
N(E_F): 1.66 states/eV per atom
Formation enthalpy at 0 K: -11.4 kcal/mol of atoms
Raw total energy: -23.29 eV/cell

## SrPmEuHo (GGA-PBE)

Data for a relaxed SrPmEuHo crystal.

extended XYZ file:
```
4
Lattice="6.015 0.000 0.000 3.008 5.209 0.000 3.008 1.736 4.911" Properties=species:S:1:pos:R:3 pbc="T T T"
Ho 9.023 5.209 3.684
Sr 3.008 1.736 1.228
Eu 0.000 0.000 0.000
Pm 6.015 3.473 2.456
```

## Properties
M_tot: 7.4 μB/cell
N(E_F): 1.44 states/eV per atom
Formation enthalpy at 0 K: 4.7 kcal/mol of atoms
Raw total energy: -20.47 eV/cell

## TbPmEuHo (GGA-PBE)

Data for a relaxed TbPmEuHo crystal.

extended XYZ file:
```
4
Lattice="5.778 0.000 0.000 2.889 5.004 0.000 2.889 1.668 4.717" Properties=species:S:1:pos:R:3 pbc="T T T"
Pm 0.000 0.000 0.000
Ho 2.889 1.668 1.179
Tb 8.667 5.004 3.538
Eu 5.778 3.336 2.359
```

## Properties
M_tot: 7.5 μB/cell
N(E_F): 1.97 states/eV per atom
Formation enthalpy at 0 K: 3.6 kcal/mol of atoms
Raw total energy: -23.60 eV/cell

## PmEuHoTm (GGA-PBE)

Data for a relaxed PmEuHoTm crystal.

extended XYZ file:
```
4
Lattice="-0.046 2.361 5.239 -2.310 -2.857 4.419 3.382 -2.117 4.135" Properties=species:S:1:pos:R:3 pbc="T T T"
Ho 0.257 -0.653 3.448
Tm 0.770 -1.960 10.345
Eu 0.000 0.000 0.000
Pm 0.513 -1.307 6.896
```

## Properties
M_tot: 7.1 μB/cell
N(E_F): 1.70 states/eV per atom
Formation enthalpy at 0 K: 3.5 kcal/mol of atoms
Raw total energy: -23.47 eV/cell

## PmEuYHo (GGA-PBE)

Data for a relaxed PmEuYHo crystal.

extended XYZ file:
```
4
Lattice="-1.404 -3.168 -4.630 -1.258 -5.612 0.609 -5.438 -1.838 -0.705" Properties=species:S:1:pos:R:3 pbc="T T T"
Ho -2.025 -2.654 -1.181
Y -6.075 -7.963 -3.544
Eu -4.050 -5.309 -2.363
Pm 0.000 0.000 0.000
```

## Properties
M_tot: 7.2 μB/cell
N(E_F): 1.82 states/eV per atom
Formation enthalpy at 0 K: 3.5 kcal/mol of atoms
Raw total energy: -25.47 eV/cell

## PrEuHo4 (GGA-PBE)

Data for a relaxed PrEuHo4 crystal.

extended XYZ file:
```
6
Lattice="-2.771 -4.518 -4.115 3.907 -4.020 -3.688 0.395 -6.541 1.444" Properties=species:S:1:pos:R:3 pbc="T T T"
Ho 0.958 -9.444 -3.982
Ho 0.759 -6.140 -4.712
Ho 2.358 -7.162 -1.904
Ho -1.015 -7.413 -2.119
Pr 0.000 0.000 0.000
Eu 0.382 -3.770 -1.590
```

## Properties
M_tot: 7.0 μB/cell
N(E_F): 1.41 states/eV per atom
Formation enthalpy at 0 K: 5.8 kcal/mol of atoms
Raw total energy: -31.86 eV/cell

## PrEuHo (GGA-PBE)

Data for a relaxed PrEuHo crystal.

extended XYZ file:
```
3
Lattice="3.711 0.000 0.000 0.000 3.711 0.000 -1.855 -1.855 7.799" Properties=species:S:1:pos:R:3 pbc="T T T"
Pr 1.855 1.855 2.733
Eu 1.855 1.855 7.764
Ho 0.000 0.000 5.101
```

## Properties
M_tot: 7.2 μB/cell
N(E_F): 1.23 states/eV per atom
Formation enthalpy at 0 K: 1.0 kcal/mol of atoms
Raw total energy: -19.50 eV/cell

## PrEuHo (GGA-PBE)

Data for a relaxed PrEuHo crystal.

extended XYZ file:
```
3
Lattice="3.688 0.000 0.000 -1.844 3.194 0.000 0.000 0.000 9.069" Properties=species:S:1:pos:R:3 pbc="T T T"
Pr 0.000 2.129 5.927
Eu 0.000 0.000 0.049
Ho 1.844 1.065 3.093
```

## Properties
M_tot: 7.4 μB/cell
N(E_F): 1.20 states/eV per atom
Formation enthalpy at 0 K: 1.0 kcal/mol of atoms
Raw total energy: -19.50 eV/cell

## PrEuHoSc (GGA-PBE)

Data for a relaxed PrEuHoSc crystal.

extended XYZ file:
```
4
Lattice="5.675 0.000 0.000 2.838 4.915 0.000 2.838 1.638 4.634" Properties=species:S:1:pos:R:3 pbc="T T T"
Ho 5.675 3.277 2.317
Eu 2.838 1.638 1.158
Pr 0.000 0.000 0.000
Sc 8.513 4.915 3.475
```

## Properties
M_tot: 7.5 μB/cell
N(E_F): 1.64 states/eV per atom
Formation enthalpy at 0 K: 3.7 kcal/mol of atoms
Raw total energy: -25.32 eV/cell

## PrSmEuHo (GGA-PBE)

Data for a relaxed PrSmEuHo crystal.

extended XYZ file:
```
4
Lattice="5.836 0.000 0.000 2.918 5.054 0.000 2.918 1.685 4.765" Properties=species:S:1:pos:R:3 pbc="T T T"
Sm 2.918 1.685 1.191
Ho 5.836 3.370 2.383
Pr 8.755 5.054 3.574
Eu 0.000 0.000 0.000
```

## Properties
M_tot: 7.8 μB/cell
N(E_F): 1.63 states/eV per atom
Formation enthalpy at 0 K: 3.2 kcal/mol of atoms
Raw total energy: -23.80 eV/cell

## SrPrEuHo (GGA-PBE)

Data for a relaxed SrPrEuHo crystal.

extended XYZ file:
```
4
Lattice="-1.226 5.800 -1.200 -1.460 1.682 -5.623 -5.665 1.692 -1.276" Properties=species:S:1:pos:R:3 pbc="T T T"
Sr -2.088 2.293 -2.025
Ho -6.263 6.880 -6.075
Pr -4.175 4.587 -4.050
Eu 0.000 0.000 0.000
```

## Properties
M_tot: 7.3 μB/cell
N(E_F): 1.44 states/eV per atom
Formation enthalpy at 0 K: 4.4 kcal/mol of atoms
Raw total energy: -20.55 eV/cell